## ReHNO2 (PBEsol)

Data for a relaxed structure of ReHNO2.

For the total moment, the calculation gives 0.524 μB/f.u. The total DFT energy (no corrections) comes out at -36.3 eV per formula unit. As for the calculated volume: 55 Å³/f.u.

a b c (Å): 3.7749 3.7749 3.8465
angles (deg): 90.00 90.00 90.00
Last column: nearest neighbours and their distance in Å.
Space group P4/mmm (No. 123)
One atom of each set of equivalent atoms:
Re 0.0000 0.0000 0.0000  4 O 1.89, 2 N 1.92
H 0.5000 0.5000 0.5000  4 N 2.67, 8 O 2.69
N 0.0000 0.0000 0.5000  2 Re 1.92
O 0.0000 0.5000 0.0000  2 Re 1.89